AcDy2ErBi4 | GGA-PBE | relaxed

abc: 4.582 7.928 7.923
angles: 70.57 90.00 90.00
Sites, in units of the cell vectors:
Er 0.000 0.500 0.500
Ac 0.500 0.500 0.000
Bi 0.000 0.235 0.266
Bi 0.500 0.756 0.259
Bi 0.500 0.244 0.741
Bi 0.000 0.765 0.734
Dy 0.500 0.000 0.500
Dy 0.000 0.000 0.000

Output
size of the total moment	0.0	μB per cell
ΔE_f	-851	meV per atom
symmetry	P2/m, No. 10